# Cs6RbHg PBE relaxed
data_Cs6RbHg
_cell_length_a 6.713
_cell_length_b 6.713
_cell_length_c 17.675
_cell_angle_alpha 90.00
_cell_angle_beta 90.00
_cell_angle_gamma 90.00
_symmetry_space_group_name_H-M 'P 4/m m m'
_symmetry_Int_Tables_number 123
_symmetry_space_group_name_Hall '-P 4 2'
loop_
_atom_site_label
_atom_site_fract_x
_atom_site_fract_y
_atom_site_fract_z
Cs1 0.000 0.000 0.136
Cs2 0.000 0.500 0.368
Rb1 0.500 0.500 0.000
Hg1 0.500 0.500 0.500
# * V: 99.57 Å³ per atom
# * D(E_F): 8.19 states/eV per cell
# * formation energy from the elements: -8 meV per atom